1.
# SmErSe2 PBE-GGA relaxed
# polymorph energy (0 for the lowest one)	0.11	eV per formula unit
# volume	24.75	Å³/atom
# energy	-5.80	eV/atom
# magnetization	0.0	μB per formula unit
# formation energy from raw total energies	-1.733	eV/atom
# DOS at the Fermi energy	3.77	states/eV per cell
data_SmErSe2
_chemical_formula_sum 'Sm3 Er3 Se6'
_cell_length_a 3.9765
_cell_length_b 3.9765
_cell_length_c 21.6855
_cell_angle_alpha 90.00
_cell_angle_beta 90.00
_cell_angle_gamma 120.00
_space_group_name_H-M_alt 'R 3 m'
_space_group_IT_number 160
_space_group_name_Hall 'R 3 -2"'
loop_
_atom_site_label
_atom_site_fract_x
_atom_site_fract_y
_atom_site_fract_z
_atom_site_occupancy
Sm1 0.0000 0.0000 0.0000 1
Er1 0.0000 0.0000 0.8233 1
Se1 0.0000 0.0000 0.4138 1
Se2 0.0000 0.0000 0.5761 1

=====

2.
# SmErSe3 PBE-GGA relaxed
# polymorph energy (0 for the lowest one)	0.00	eV per formula unit
# volume	25.22	Å³/atom
# energy	-5.82	eV/atom
# magnetization	0.0	μB per formula unit
# formation energy from raw total energies	-1.872	eV/atom
data_SmErSe3
_chemical_formula_sum 'Sm4 Er4 Se12'
_cell_length_a 7.690
_cell_length_b 4.097
_cell_length_c 16.010
_cell_angle_alpha 90.00
_cell_angle_beta 90.00
_cell_angle_gamma 90.00
_space_group_name_H-M_alt 'P n m a'
_space_group_IT_number 62
loop_
_space_group_symop_operation_xyz
'x,y,z'
'-x,-y,-z'
'-x+1/2,-y,z+1/2'
'x+1/2,y,-z+1/2'
'x+1/2,-y+1/2,-z+1/2'
'-x+1/2,y+1/2,z+1/2'
'-x,y+1/2,-z'
'x,-y+1/2,z'
loop_
_atom_site_label
_atom_site_fract_x
_atom_site_fract_y
_atom_site_fract_z
_atom_site_occupancy
Sm1 0.140 0.250 0.201 1
Er1 0.229 0.750 0.458 1
Se1 0.009 0.250 0.394 1
Se2 0.121 0.750 0.063 1
Se3 0.152 0.250 0.784 1

=====

3.
# Sm6Er2Se3 PBE-GGA relaxed
# volume	30.07	Å³/atom
# energy	-5.25	eV/atom
# magnetization	0.0	μB per formula unit
# formation energy from raw total energies	-0.891	eV/atom
# DOS at the Fermi energy	30.75	states/eV per cell
data_Sm6Er2Se3
_chemical_formula_sum 'Sm18 Er6 Se9'
_cell_length_a 3.8735
_cell_length_b 3.8735
_cell_length_c 76.3625
_cell_angle_alpha 90.00
_cell_angle_beta 90.00
_cell_angle_gamma 120.00
_space_group_name_H-M_alt 'R -3 m'
_space_group_IT_number 166
_space_group_name_Hall '-R 3 2"'
loop_
_atom_site_label
_atom_site_fract_x
_atom_site_fract_y
_atom_site_fract_z
_atom_site_occupancy
Sm1 0.0000 0.0000 0.0742 1
Sm2 0.0000 0.0000 0.1852 1
Sm3 0.0000 0.0000 0.3581 1
Er1 0.0000 0.0000 0.4446 1
Se1 0.0000 0.0000 0.0000 1
Se2 0.0000 0.0000 0.2842 1

=====

4.
# Sm4ErSe6 PBE-GGA relaxed
# volume	26.50	Å³/atom
# energy	-5.86	eV/atom
# magnetization	0.0	μB per formula unit
# formation energy from raw total energies	-1.827	eV/atom
# DOS at the Fermi energy	11.36	states/eV per cell
data_Sm4ErSe6
_chemical_formula_sum 'Sm16 Er4 Se24'
_cell_length_a 4.032
_cell_length_b 13.704
_cell_length_c 21.100
_cell_angle_alpha 90.00
_cell_angle_beta 90.00
_cell_angle_gamma 90.00
_space_group_name_H-M_alt 'C m c m'
_space_group_IT_number 63
_space_group_name_Hall '-C 2c 2'
loop_
_atom_site_label
_atom_site_fract_x
_atom_site_fract_y
_atom_site_fract_z
_atom_site_occupancy
Sm1 0.000 0.088 0.129 1
Sm2 0.000 0.359 0.039 1
Er1 0.000 0.153 0.750 1
Se1 0.000 0.000 0.000 1
Se2 0.000 0.197 0.250 1
Se3 0.000 0.271 0.591 1
Se4 0.000 0.443 0.169 1

=====

5.
# Sm3Er2Se6 PBE-GGA relaxed
# volume	27.65	Å³/atom
# energy	-5.82	eV/atom
# magnetization	0.0	μB per formula unit
# formation energy from raw total energies	-1.805	eV/atom
# DOS at the Fermi energy	13.87	states/eV per cell
data_Sm3Er2Se6
_chemical_formula_sum 'Sm9 Er6 Se18'
_cell_length_a 4.1334
_cell_length_b 4.1334
_cell_length_c 61.6656
_cell_angle_alpha 90.00
_cell_angle_beta 90.00
_cell_angle_gamma 120.00
_space_group_name_H-M_alt 'R -3 m'
_space_group_IT_number 166
_space_group_name_Hall '-R 3 2"'
loop_
_atom_site_label
_atom_site_fract_x
_atom_site_fract_y
_atom_site_fract_z
_atom_site_occupancy
Sm1 0.0000 0.0000 0.0000 1
Sm2 0.0000 0.0000 0.2783 1
Er1 0.0000 0.0000 0.4474 1
Se1 0.0000 0.0000 0.0845 1
Se2 0.0000 0.0000 0.1972 1
Se3 0.0000 0.0000 0.3612 1

=====

6.
# Sm2ErSe4 PBE-GGA relaxed
# polymorph energy (0 for the lowest one)	0.34	eV per formula unit
# volume	27.36	Å³/atom
# energy	-5.81	eV/atom
# magnetization	0.0	μB per formula unit
# formation energy from raw total energies	-1.814	eV/atom
# DOS at the Fermi energy	8.81	states/eV per cell
data_Sm2ErSe4
_chemical_formula_sum 'Sm8 Er4 Se16'
_cell_length_a 3.984
_cell_length_b 13.753
_cell_length_c 13.982
_cell_angle_alpha 90.00
_cell_angle_beta 90.00
_cell_angle_gamma 90.00
_space_group_name_H-M_alt 'C m c m'
_space_group_IT_number 63
_space_group_name_Hall '-C 2c 2'
loop_
_atom_site_label
_atom_site_fract_x
_atom_site_fract_y
_atom_site_fract_z
_atom_site_occupancy
Sm1 0.000 0.130 0.071 1
Er1 0.000 0.372 0.250 1
Se1 0.000 0.021 0.250 1
Se2 0.000 0.220 0.625 1
Se3 0.000 0.500 0.000 1

=====

7.
# Sm2ErSe4 PBE-GGA relaxed
# polymorph energy (0 for the lowest one)	0.00	eV per formula unit
# volume	27.94	Å³/atom
# energy	-5.85	eV/atom
# magnetization	0.0	μB per formula unit
# formation energy from raw total energies	-1.863	eV/atom
# DOS at the Fermi energy	8.23	states/eV per cell
data_Sm2ErSe4
_chemical_formula_sum 'Sm8 Er4 Se16'
_cell_length_a 8.233
_cell_length_b 8.285
_cell_length_c 11.469
_cell_angle_alpha 90.00
_cell_angle_beta 90.00
_cell_angle_gamma 90.00
_space_group_name_H-M_alt 'I m m a'
_space_group_IT_number 74
_space_group_name_Hall '-I 2b 2'
loop_
_atom_site_label
_atom_site_fract_x
_atom_site_fract_y
_atom_site_fract_z
_atom_site_occupancy
Sm1 0.000 0.000 0.000 1
Sm2 0.250 0.250 0.250 1
Er1 0.250 0.250 0.750 1
Se1 0.000 0.007 0.742 1
Se2 0.249 0.250 0.504 1

=====

8.
# Sm4Er3Se8 PBE-GGA relaxed
# polymorph energy (0 for the lowest one)	0.00	eV per formula unit
# volume	25.94	Å³/atom
# energy	-5.85	eV/atom
# magnetization	0.0	μB per formula unit
# formation energy from raw total energies	-1.825	eV/atom
# DOS at the Fermi energy	12.38	states/eV per cell
data_Sm4Er3Se8
_chemical_formula_sum 'Sm8 Er6 Se16'
_cell_length_a 11.581
_cell_length_b 11.589
_cell_length_c 8.188
_cell_angle_alpha 90.00
_cell_angle_beta 134.92
_cell_angle_gamma 90.00
_space_group_name_H-M_alt 'C 1 2/m 1'
_space_group_IT_number 12
loop_
_space_group_symop_operation_xyz
'x,y,z'
'-x,-y,-z'
'-x,y,-z'
'x,-y,z'
'x+1/2,y+1/2,z'
'-x+1/2,-y+1/2,-z'
'-x+1/2,y+1/2,-z'
'x+1/2,-y+1/2,z'
loop_
_atom_site_label
_atom_site_fract_x
_atom_site_fract_y
_atom_site_fract_z
_atom_site_occupancy
Sm1 0.000 0.000 0.000 1
Sm2 0.000 0.500 0.500 1
Sm3 0.250 0.250 0.000 1
Er1 0.000 0.500 0.000 1
Er2 0.250 0.250 0.500 1
Se1 0.000 0.244 0.500 1
Se2 0.000 0.254 0.000 1
Se3 0.247 0.000 0.508 1
Se4 0.248 0.000 0.988 1

=====

9.
# SmEr3Se6 PBE-GGA relaxed
# volume	26.41	Å³/atom
# energy	-5.81	eV/atom
# magnetization	0.0	μB per formula unit
# formation energy from raw total energies	-1.875	eV/atom
data_SmEr3Se6
_chemical_formula_sum 'Sm2 Er6 Se12'
_cell_length_a 11.539
_cell_length_b 4.100
_cell_length_c 11.821
_cell_angle_alpha 90.00
_cell_angle_beta 109.17
_cell_angle_gamma 90.00
_space_group_name_H-M_alt 'P 1 21/m 1'
_space_group_IT_number 11
loop_
_space_group_symop_operation_xyz
'x,y,z'
'-x,-y,-z'
'-x,y+1/2,-z'
'x,-y+1/2,z'
loop_
_atom_site_label
_atom_site_fract_x
_atom_site_fract_y
_atom_site_fract_z
_atom_site_occupancy
Sm1 0.046 0.250 0.195 1
Er1 0.159 0.250 0.585 1
Er2 0.318 0.750 0.999 1
Er3 0.437 0.250 0.333 1
Se1 0.083 0.750 0.404 1
Se2 0.115 0.250 0.965 1
Se3 0.196 0.750 0.750 1
Se4 0.259 0.750 0.225 1
Se5 0.394 0.250 0.560 1
Se6 0.480 0.250 0.114 1

=====

10.
# Sm3ErSe4 PBE-GGA relaxed
# volume	25.09	Å³/atom
# energy	-5.87	eV/atom
# magnetization	0.0	μB per formula unit
# formation energy from raw total energies	-1.784	eV/atom
# DOS at the Fermi energy	9.33	states/eV per cell
data_Sm3ErSe4
_chemical_formula_sum 'Sm6 Er2 Se8'
_cell_length_a 8.393
_cell_length_b 11.716
_cell_length_c 4.082
_cell_angle_alpha 90.00
_cell_angle_beta 90.00
_cell_angle_gamma 90.00
_space_group_name_H-M_alt 'C m m m'
_space_group_IT_number 65
_space_group_name_Hall '-C 2 2'
loop_
_atom_site_label
_atom_site_fract_x
_atom_site_fract_y
_atom_site_fract_z
_atom_site_occupancy
Sm1 0.000 0.000 0.000 1
Sm2 0.250 0.250 0.500 1
Er1 0.000 0.500 0.000 1
Se1 0.000 0.255 0.000 1
Se2 0.241 0.500 0.500 1

=====

11.
# SmErSe2 PBE-GGA relaxed
# polymorph energy (0 for the lowest one)	0.00	eV per formula unit
# volume	24.46	Å³/atom
# energy	-5.82	eV/atom
# magnetization	0.0	μB per formula unit
# formation energy from raw total energies	-1.761	eV/atom
# DOS at the Fermi energy	3.77	states/eV per cell
data_SmErSe2
_chemical_formula_sum 'Sm2 Er2 Se4'
_cell_length_a 7.051
_cell_length_b 4.087
_cell_length_c 7.192
_cell_angle_alpha 90.00
_cell_angle_beta 109.22
_cell_angle_gamma 90.00
_space_group_name_H-M_alt 'C 1 2/m 1'
_space_group_IT_number 12
loop_
_space_group_symop_operation_xyz
'x,y,z'
'-x,-y,-z'
'-x,y,-z'
'x,-y,z'
'x+1/2,y+1/2,z'
'-x+1/2,-y+1/2,-z'
'-x+1/2,y+1/2,-z'
'x+1/2,-y+1/2,z'
loop_
_atom_site_label
_atom_site_fract_x
_atom_site_fract_y
_atom_site_fract_z
_atom_site_occupancy
Sm1 0.000 0.000 0.000 1
Er1 0.000 0.500 0.500 1
Se1 0.246 0.000 0.737 1

=====

12.
# SmErSe3 PBE-GGA relaxed
# polymorph energy (0 for the lowest one)	0.06	eV per formula unit
# volume	27.02	Å³/atom
# energy	-5.81	eV/atom
# magnetization	0.0	μB per formula unit
# formation energy from raw total energies	-1.860	eV/atom
data_SmErSe3
_chemical_formula_sum 'Sm2 Er2 Se6'
_cell_length_a 8.086
_cell_length_b 4.078
_cell_length_c 8.226
_cell_angle_alpha 90.00
_cell_angle_beta 95.00
_cell_angle_gamma 90.00
_space_group_name_H-M_alt 'P 1 21/m 1'
_space_group_IT_number 11
loop_
_space_group_symop_operation_xyz
'x,y,z'
'-x,-y,-z'
'-x,y+1/2,-z'
'x,-y+1/2,z'
loop_
_atom_site_label
_atom_site_fract_x
_atom_site_fract_y
_atom_site_fract_z
_atom_site_occupancy
Sm1 0.120 0.250 0.271 1
Er1 0.354 0.750 0.824 1
Se1 0.124 0.250 0.890 1
Se2 0.184 0.750 0.523 1
Se3 0.398 0.750 0.180 1